Record 1
Crystalline In3AgHg at its relaxed geometry, computed with PBE.

Results
ΔE to the lowest computed polymorph   0.000 eV per atom
Electronic total energy   -2.2534 eV per atom
ΔH_f (0 K)   20.2 meV per atom
Size of the total moment   0.000 μB per formula unit

a = 5.9270 Å, b = 9.9893 Å, c = 9.9893 Å
α = 58.50°, β = 95.71°, γ = 95.71°
Last column: nearest neighbours and their distance in Å.
Element x y z (fractional)
In (0.3766, 0.7375, 0.9730)  1 Ag 2.96, 2 Hg 3.06-3.09, 1 In 3.27
In (0.8766, 0.9730, 0.7375)  1 Ag 2.96, 2 Hg 3.06-3.09, 1 In 3.27
In (0.1234, 0.0270, 0.2625)  1 Ag 2.96, 2 Hg 3.06-3.09, 1 In 3.27
In (0.6234, 0.2625, 0.0270)  1 Ag 2.96, 2 Hg 3.06-3.09, 1 In 3.27
In (0.9790, 0.7153, 0.5945)  1 Ag 2.96, 1 Hg 3.08, 3 In 3.19-3.27
In (0.4790, 0.5945, 0.7153)  1 Ag 2.96, 1 Hg 3.08, 3 In 3.19-3.27
In (0.5210, 0.4055, 0.2847)  1 Ag 2.96, 1 Hg 3.08, 3 In 3.19-3.27
In (0.0210, 0.2847, 0.4055)  1 Ag 2.96, 1 Hg 3.08, 3 In 3.19-3.27
In (0.0243, 0.2973, 0.7952)  4 Ag 2.92-3.03, 1 Hg 3.07
In (0.5243, 0.7952, 0.2973)  4 Ag 2.92-3.03, 1 Hg 3.07
In (0.4757, 0.2048, 0.7027)  4 Ag 2.92-3.03, 1 Hg 3.07
In (0.9757, 0.7027, 0.2048)  4 Ag 2.92-3.03, 1 Hg 3.07
Ag (0.2500, 0.5084, 0.4916)  6 In 2.92-3.00, 2 Ag 2.97
Ag (0.2500, 0.0031, 0.9969)  6 In 2.92-3.03, 2 Ag 2.96
Ag (0.7500, 0.4916, 0.5084)  6 In 2.92-3.00, 2 Ag 2.97
Ag (0.7500, 0.9969, 0.0031)  6 In 2.92-3.03, 2 Ag 2.96
Hg (0.8255, 0.6154, 0.9556)  1 Hg 2.97, 5 In 3.06-3.33
Hg (0.3255, 0.9556, 0.6154)  1 Hg 2.97, 5 In 3.06-3.33
Hg (0.6745, 0.0444, 0.3846)  1 Hg 2.97, 5 In 3.06-3.33
Hg (0.1745, 0.3846, 0.0444)  1 Hg 2.97, 5 In 3.06-3.33

Record 2
Crystalline In2Ag6Hg at its relaxed geometry, computed with PBE.

Results
ΔE to the lowest computed polymorph   0.000 eV per atom
Electronic total energy   -2.5443 eV per atom
ΔH_f (0 K)   -1.4 meV per atom
Size of the total moment   0.000 μB per formula unit

a = 4.2711 Å, b = 9.0624 Å, c = 9.0646 Å
α = 90.00°, β = 90.00°, γ = 90.00°
Last column: nearest neighbours and their distance in Å.
Element x y z (fractional)
In (0.0002, 0.3244, 0.8242)  10 Ag 2.96-3.08, 2 Hg 3.10
In (0.4998, 0.8244, 0.6758)  10 Ag 2.96-3.08, 2 Hg 3.10
In (0.5002, 0.1756, 0.3242)  10 Ag 2.96-3.08, 2 Hg 3.10
In (0.9998, 0.6756, 0.1758)  10 Ag 2.96-3.08, 2 Hg 3.10
Ag (0.0000, 0.0018, 0.1624)  8 Ag 2.94-3.05, 3 In 2.96-3.03, 1 Hg 3.06
Ag (0.9998, 0.6624, 0.5019)  8 Ag 2.94-3.05, 3 In 2.96-3.03, 1 Hg 3.06
Ag (0.9998, 0.6639, 0.8362)  4 In 2.96-3.08, 2 Hg 2.99-3.00, 6 Ag 3.03-3.05
Ag (0.5002, 0.1639, 0.6638)  4 In 2.96-3.08, 2 Hg 2.99-3.00, 6 Ag 3.03-3.05
Ag (0.5002, 0.1624, 0.9981)  8 Ag 2.94-3.05, 3 In 2.96-3.03, 1 Hg 3.06
Ag (0.5000, 0.5018, 0.3376)  8 Ag 2.94-3.05, 3 In 2.96-3.03, 1 Hg 3.06
Ag (0.0000, 0.9982, 0.8376)  8 Ag 2.94-3.05, 3 In 2.96-3.03, 1 Hg 3.06
Ag (0.0002, 0.3376, 0.4981)  8 Ag 2.94-3.05, 3 In 2.96-3.03, 1 Hg 3.06
Ag (0.0002, 0.3361, 0.1638)  4 In 2.96-3.08, 2 Hg 2.99-3.00, 6 Ag 3.03-3.05
Ag (0.4998, 0.8361, 0.3362)  4 In 2.96-3.08, 2 Hg 2.99-3.00, 6 Ag 3.03-3.05
Ag (0.4998, 0.8376, 0.0019)  8 Ag 2.94-3.05, 3 In 2.96-3.03, 1 Hg 3.06
Ag (0.5000, 0.4982, 0.6624)  8 Ag 2.94-3.05, 3 In 2.96-3.03, 1 Hg 3.06
Hg (0.5000, 0.5000, 0.0000)  8 Ag 2.99-3.06, 4 In 3.10
Hg (0.0000, 0.0000, 0.5000)  8 Ag 2.99-3.06, 4 In 3.10

Record 3
Crystalline InAgHg at its relaxed geometry, computed with PBE.

Results
ΔE to the lowest computed polymorph   0.026 eV per atom
Electronic total energy   -1.9144 eV per atom
ΔH_f (0 K)   49.4 meV per atom
Size of the total moment   0.000 μB per formula unit

a = 5.1832 Å, b = 4.3342 Å, c = 6.8555 Å
α = 90.59°, β = 108.20°, γ = 69.90°
Last column: nearest neighbours and their distance in Å.
Element x y z (fractional)
In (0.6539, 0.1793, 0.3912)  3 Ag 3.01-3.22, 4 Hg 3.07-3.24, 3 In 3.22-3.29
In (0.3461, 0.8207, 0.6088)  3 Ag 3.01-3.22, 4 Hg 3.07-3.24, 3 In 3.22-3.29
Ag (0.6712, 0.1600, 0.9256)  3 Ag 2.99-3.22, 5 Hg 3.00-3.25, 3 In 3.01-3.22
Ag (0.3288, 0.8400, 0.0744)  3 Ag 2.99-3.22, 5 Hg 3.00-3.25, 3 In 3.01-3.22
Hg (0.0154, 0.4764, 0.7724)  5 Ag 3.00-3.25, 4 In 3.07-3.24, 1 Hg 3.18
Hg (0.9846, 0.5236, 0.2276)  5 Ag 3.00-3.25, 4 In 3.07-3.24, 1 Hg 3.18

Record 4
Crystalline In2Ag5Hg2 at its relaxed geometry, computed with PBE.

Results
ΔE to the lowest computed polymorph   0.000 eV per atom
Electronic total energy   -2.2301 eV per atom
ΔH_f (0 K)   29.6 meV per atom
Size of the total moment   0.000 μB per formula unit

a = 3.1172 Å, b = 10.5714 Å, c = 7.5692 Å
α = 58.48°, β = 90.09°, γ = 116.35°
Last column: nearest neighbours and their distance in Å.
Element x y z (fractional)
In (0.7729, 0.1818, 0.1567)  9 Ag 2.93-3.12, 1 Hg 3.11, 2 In 3.12
In (0.2271, 0.8182, 0.8433)  9 Ag 2.93-3.12, 1 Hg 3.11, 2 In 3.12
Ag (0.7806, 0.5208, 0.8183)  3 In 2.93-3.12, 6 Ag 2.98-3.12, 3 Hg 3.06-3.08
Ag (0.2194, 0.4792, 0.1817)  3 In 2.93-3.12, 6 Ag 2.98-3.12, 3 Hg 3.06-3.08
Ag (0.7738, 0.8489, 0.4838)  2 Hg 2.97, 4 In 3.00-3.07, 6 Ag 3.01-3.12
Ag (0.2262, 0.1511, 0.5162)  2 Hg 2.97, 4 In 3.00-3.07, 6 Ag 3.01-3.12
Ag (0.0000, 0.0000, 0.0000)  4 In 3.03, 4 Ag 3.06-3.12, 4 Hg 3.06
Hg (0.0054, 0.6703, 0.3341)  7 Ag 2.97-3.08, 4 Hg 3.11-3.12, 1 In 3.11
Hg (0.9946, 0.3297, 0.6659)  7 Ag 2.97-3.08, 4 Hg 3.11-3.12, 1 In 3.11